1.
This record from Alexandria via LeMat-Bulk describes CoTcAsBr2 after structural relaxation. The functional is PBEsol.

The value obtained for the formation energy from raw total energies is 0.97 eV/atom.

It has space group P4/mmm (No. 123), with a = 4.7872 Å, b = 4.7872 Å, c = 4.4888 Å, α = 90.00°, β = 90.00° and γ = 90.00°. The asymmetric unit holds Co at (0.0000, 0.0000, 0.0000), Tc at (0.5000, 0.5000, 0.5000), As at (0.0000, 0.0000, 0.5000) and Br at (0.0000, 0.5000, 0.0000).


2.
This record from Alexandria via LeMat-Bulk describes CoTeAs2Br after structural relaxation. The functional is PBEsol.

The value obtained for the formation energy from raw total energies is 1.45 eV/atom.

It has space group P4/mmm (No. 123), with a = 5.2757 Å, b = 5.2757 Å, c = 5.4067 Å, α = 90.00°, β = 90.00° and γ = 90.00°. The asymmetric unit holds Co at (0.0000, 0.0000, 0.0000), Te at (0.5000, 0.5000, 0.5000), As at (0.0000, 0.5000, 0.5000) and Br at (0.5000, 0.5000, 0.0000).


3.
This record from Alexandria via LeMat-Bulk describes CoTeAsBr2 after structural relaxation. The functional is PBEsol.

The value obtained for the formation energy from raw total energies is 0.24 eV/atom.

It has space group P4/mmm (No. 123), with a = 4.6891 Å, b = 4.6891 Å, c = 4.7907 Å, α = 90.00°, β = 90.00° and γ = 90.00°. The asymmetric unit holds Co at (0.0000, 0.0000, 0.0000), Te at (0.5000, 0.5000, 0.5000), As at (0.0000, 0.0000, 0.5000) and Br at (0.0000, 0.5000, 0.0000).


4.
This record from Alexandria via LeMat-Bulk describes CoAs2WBr after structural relaxation. The functional is PBEsol.

The value obtained for the formation energy from raw total energies is 1.15 eV/atom.

It has space group P4/mmm (No. 123), with a = 4.7929 Å, b = 4.7929 Å, c = 5.1249 Å, α = 90.00°, β = 90.00° and γ = 90.00°. The asymmetric unit holds Co at (0.0000, 0.0000, 0.0000), As at (0.0000, 0.5000, 0.5000), W at (0.5000, 0.5000, 0.5000) and Br at (0.5000, 0.5000, 0.0000).


5.
This record from Alexandria via LeMat-Bulk describes ZnCoAs2Br after structural relaxation. The functional is PBEsol.

The value obtained for the formation energy from raw total energies is 1.11 eV/atom.

It has space group P4/mmm (No. 123), with a = 4.6762 Å, b = 4.6762 Å, c = 5.1469 Å, α = 90.00°, β = 90.00° and γ = 90.00°. The asymmetric unit holds Zn at (0.0000, 0.0000, 0.0000), Co at (0.5000, 0.5000, 0.5000), As at (0.0000, 0.5000, 0.0000) and Br at (0.0000, 0.0000, 0.5000).


6.
This record from Alexandria via LeMat-Bulk describes Cr2AsBr after structural relaxation. The functional is PBEsol.

The value obtained for the formation energy from raw total energies is 0.21 eV/atom.

It has space group C2/m (No. 12), with a = 8.3482 Å, b = 3.0529 Å, c = 6.9682 Å, α = 90.00°, β = 123.53° and γ = 90.00°. The asymmetric unit holds Cr at (0.2151, 0.0000, 0.3704), As at (0.0000, 0.0000, 0.5000) and Br at (0.0000, 0.5000, 0.0000).


7.
This record from Alexandria via LeMat-Bulk describes CrAs2Br after structural relaxation. The functional is PBEsol.

The value obtained for the formation energy from raw total energies is 0.39 eV/atom.

It has space group P4/mmm (No. 123), with a = 3.7102 Å, b = 3.7102 Å, c = 6.0643 Å, α = 90.00°, β = 90.00° and γ = 90.00°. The asymmetric unit holds Cr at (0.0000, 0.0000, 0.0000), As at (0.0000, 0.5000, 0.5000) and Br at (0.5000, 0.5000, 0.0000).


8.
This record from Alexandria via LeMat-Bulk describes CrAsBr after structural relaxation. The functional is PBEsol.

The value obtained for the formation energy from raw total energies is -0.08 eV/atom.

It has space group P3m1 (No. 156), with a = 3.6018 Å, b = 3.6018 Å, c = 5.6458 Å, α = 90.00°, β = 90.00° and γ = 120.00°. The asymmetric unit holds Cr at (0.0000, 0.0000, 0.0000), As at (0.3333, 0.6667, 0.8015) and Br at (0.6667, 0.3333, 0.2891).


9.
This record from Alexandria via LeMat-Bulk describes CrGeAs2Br after structural relaxation. The functional is PBEsol.

The value obtained for the formation energy from raw total energies is 0.44 eV/atom.

It has space group P4/mmm (No. 123), with a = 4.5753 Å, b = 4.5753 Å, c = 5.1841 Å, α = 90.00°, β = 90.00° and γ = 90.00°. The asymmetric unit holds Cr at (0.0000, 0.0000, 0.0000), Ge at (0.5000, 0.5000, 0.5000), As at (0.0000, 0.5000, 0.0000) and Br at (0.0000, 0.0000, 0.5000).


10.
This record from Alexandria via LeMat-Bulk describes CrAsHBr2 after structural relaxation. The functional is PBEsol.

It has space group P4/mmm (No. 123), with a = 5.0624 Å, b = 5.0624 Å, c = 3.5010 Å, α = 90.00°, β = 90.00° and γ = 90.00°. The asymmetric unit holds Cr at (0.0000, 0.0000, 0.0000), As at (0.5000, 0.5000, 0.0000), H at (0.5000, 0.5000, 0.5000) and Br at (0.0000, 0.5000, 0.5000).


11.
This record from Alexandria via LeMat-Bulk describes CrHgAs2Br after structural relaxation. The functional is PBEsol.

The value obtained for the formation energy from raw total energies is 0.25 eV/atom.

It has space group P4/mmm (No. 123), with a = 4.5721 Å, b = 4.5721 Å, c = 5.2756 Å, α = 90.00°, β = 90.00° and γ = 90.00°. The asymmetric unit holds Cr at (0.0000, 0.0000, 0.0000), Hg at (0.5000, 0.5000, 0.5000), As at (0.0000, 0.5000, 0.0000) and Br at (0.0000, 0.0000, 0.5000).


12.
This record from Alexandria via LeMat-Bulk describes LaCrAs2Br after structural relaxation. The functional is PBEsol.

The value obtained for the formation energy from raw total energies is -0.51 eV/atom.

It has space group P4/mmm (No. 123), with a = 4.7187 Å, b = 4.7187 Å, c = 5.0239 Å, α = 90.00°, β = 90.00° and γ = 90.00°. The asymmetric unit holds La at (0.0000, 0.0000, 0.0000), Cr at (0.5000, 0.5000, 0.5000), As at (0.0000, 0.5000, 0.5000) and Br at (0.5000, 0.5000, 0.0000).


no.,final energy (eV per formula unit)
1,-23.00
2,-16.07
3,-18.93
4,-27.86
5,-15.87
6,-26.61
7,-20.78
8,-17.45
9,-25.08
10,-19.83
11,-21.65
12,-30.23